Entry 1:
VASP calculation (GGA-PBE) on ZrV2GeSe after structural relaxation.

a b c (Å): 4.661 4.661 5.123
angles (deg): 90.00 90.00 90.00
Space group P4/mmm (No. 123)
Unique sites:
Zr 0.000 0.000 0.000 x1
V 0.000 0.500 0.500 x2
Ge 0.000 0.000 0.500 x1
Se 0.500 0.500 0.000 x1

Properties
The energy comes out at -6.386 eV/atom. Its size of the total moment is 5.64 μB/cell. The calculation puts the raw formation energy at 591 meV per atom.



Entry 2:
VASP calculation (GGA-PBE) on RbScC after structural relaxation.

a b c (Å): 6.181 6.181 6.181
angles (deg): 90.00 90.00 90.00
Space group F-43m (No. 216)
Unique sites:
Rb 0.000 0.000 0.000 x4
Sc 0.250 0.250 0.250 x4
C 0.000 0.000 0.500 x4

Properties
The energy comes out at -3.948 eV/atom. For the offset from the most stable computed form, the calculation gives 1.530 eV per atom. Its size of the total moment is 0.00 μB/cell. Its formation energy is 1.560 eV/atom.